A plane-wave DFT calculation with GGA-PBE was carried out for a geometry-optimized HfTi7Sb2 structure.

abc: 7.699 7.699 4.747
angles: 90.00 90.00 122.00
Fractional positions:
Hf (0.000, 0.000, 0.000)
Ti (0.066, 0.281, 0.500)
Ti (0.205, 0.795, 0.000)
Ti (0.281, 0.066, 0.500)
Ti (0.500, 0.500, 0.500)
Ti (0.719, 0.934, 0.500)
Ti (0.795, 0.205, 0.000)
Ti (0.934, 0.719, 0.500)
Sb (0.300, 0.700, 0.500)
Sb (0.700, 0.300, 0.500)

Total magnetization = 0.00 μB/cell
Raw formation energy = 4.0 eV/f.u.
E = -6.9453 eV/atom
DOS(E_F) = 1.40 states/eV per atom